VASP calculation (PBEsol) on an optimized crystal structure of Si2AsBr.

Values from the calculation:
- E_form (uncorrected) (kJ per mole of atoms) = 38.39
- distance to the lowest polymorph of the same formula (meV per atom) = 98
- crystal system = tetragonal
- density (g cm⁻³) = 4.5

Cell: 4.673 4.673 4.673 Å, 108.96 109.73 109.73°
Fractional positions:
As (0.000, 0.000, 0.000)
Si (0.500, 0.500, 0.000)
Si (0.500, 0.000, 0.500)
Br (0.000, 0.500, 0.500)